This record from the Alexandria database describes a relaxed structure of BaLiCaSn. The functional is GGA-PBE.

abc: 5.724 5.724 5.724
angles: 60.00 60.00 60.00
Element x y z (fractional)
Sn 0.250 0.250 0.250
Ca 0.500 0.500 0.500
Ba 0.000 0.000 0.000
Li 0.750 0.750 0.750

Summary:
Calculated density ... 3.80 g/cm3
N(E_F) ... 0.537 states/eV/atom
Crystal system ... cubic

***

This record from the Alexandria database describes a relaxed structure of Mg4ZnCu8. The functional is GGA-PBE.

abc: 6.559 6.559 6.559
angles: 110.24 110.24 107.94
Element x y z (fractional)
Mg 0.500 0.000 0.000
Mg 0.000 0.500 0.000
Mg 0.000 0.000 0.500
Mg 0.500 0.500 0.500
Cu 0.500 0.724 0.224
Cu 0.000 0.668 0.668
Cu 0.332 0.000 0.332
Cu 0.000 0.332 0.332
Cu 0.668 0.000 0.668
Cu 0.500 0.276 0.776
Cu 0.276 0.500 0.776
Cu 0.724 0.500 0.224
Zn 0.000 0.000 0.000

Summary:
Energy above the lowest structure with this stoichiometry ... 111 meV per atom
Calculated density ... 5.13 g/cm3
N(E_F) ... 0.273 states/eV/atom
Crystal system ... tetragonal

***

This record from the Alexandria database describes a relaxed structure of CuHgMo2. The functional is GGA-PBE.

abc: 3.274 3.274 6.160
angles: 90.00 90.00 90.00
Element x y z (fractional)
Cu 0.000 0.000 0.489
Hg 0.500 0.500 0.729
Mo 0.000 0.000 0.041
Mo 0.500 0.500 0.241

Summary:
Calculated density ... 11.47 g/cm3
N(E_F) ... 0.996 states/eV/atom
Crystal system ... tetragonal

***

This record from the Alexandria database describes a relaxed structure of RbTiGa2C. The functional is GGA-PBE.

abc: 5.198 4.129 5.198
angles: 90.00 90.00 90.00
Element x y z (fractional)
Rb 0.500 0.500 0.500
Ti 0.000 0.500 0.000
Ga 0.500 0.000 0.000
Ga 0.000 0.000 0.500
C 0.000 0.000 0.000

Summary:
Calculated density ... 4.24 g/cm3
N(E_F) ... 0.905 states/eV/atom
Crystal system ... tetragonal

***

Number 1: calculated formation energy -0.409 eV/atom. Number 2: calculated formation energy 0.119 eV/atom. Number 3: calculated formation energy 0.350 eV/atom. Number 4: calculated formation energy 0.797 eV/atom.